No. 1
# La3ThS6 | Alexandria via LeMat-Bulk | PBE-GGA | relaxed
# * DOS(E_F): 0.194 states/eV per atom
# * energy: -6.797 eV/atom
data_La3ThS6
_chemical_formula_sum 'La6 Th2 S12'
_cell_length_a 11.4202
_cell_length_b 4.1204
_cell_length_c 11.7744
_cell_angle_alpha 90.00
_cell_angle_beta 106.85
_cell_angle_gamma 90.00
_symmetry_space_group_name_H-M 'P 1 21/m 1'
_symmetry_Int_Tables_number 11
loop_
_symmetry_equiv_pos_as_xyz
'x,y,z'
'-x,-y,-z'
'-x,y+1/2,-z'
'x,-y+1/2,z'
loop_
_atom_site_label
_atom_site_fract_x
_atom_site_fract_y
_atom_site_fract_z
_atom_site_occupancy
La1 0.0798 0.2500 0.1694 1
La2 0.1828 0.7500 0.5083 1
La3 0.3363 0.2500 0.9221 1
Th1 0.4542 0.2500 0.3114 1
S1 0.0245 0.2500 0.3877 1
S2 0.0932 0.2500 0.9297 1
S3 0.2576 0.7500 0.2856 1
S4 0.3221 0.7500 0.7522 1
S5 0.3937 0.2500 0.5404 1
S6 0.4186 0.7500 0.1051 1

No. 2
# LaTh2S6 | Alexandria via LeMat-Bulk | PBE-GGA | relaxed
# * DOS(E_F): 0.044 states/eV per atom
# * energy: -6.703 eV/atom
data_LaTh2S6
_chemical_formula_sum 'La2 Th4 S12'
_cell_length_a 13.9013
_cell_length_b 5.3944
_cell_length_c 9.1975
_cell_angle_alpha 90.00
_cell_angle_beta 126.95
_cell_angle_gamma 90.00
_symmetry_space_group_name_H-M 'C 1 2/m 1'
_symmetry_Int_Tables_number 12
loop_
_symmetry_equiv_pos_as_xyz
'x,y,z'
'-x,-y,-z'
'-x,y,-z'
'x,-y,z'
'x+1/2,y+1/2,z'
'-x+1/2,-y+1/2,-z'
'-x+1/2,y+1/2,-z'
'x+1/2,-y+1/2,z'
loop_
_atom_site_label
_atom_site_fract_x
_atom_site_fract_y
_atom_site_fract_z
_atom_site_occupancy
La1 0.0000 0.0000 0.0000 1
Th1 0.1825 0.0000 0.6094 1
S1 0.0409 0.0000 0.7208 1
S2 0.1079 0.5000 0.0426 1
S3 0.2475 0.5000 0.6286 1

No. 3
# LaTh3S4 | Alexandria via LeMat-Bulk | PBE-GGA | relaxed
# * DOS(E_F): 0.632 states/eV per atom
# * energy: -7.380 eV/atom
data_LaTh3S4
_chemical_formula_sum 'La2 Th6 S8'
_cell_length_a 8.0712
_cell_length_b 11.4922
_cell_length_c 4.1026
_cell_angle_alpha 90.00
_cell_angle_beta 90.00
_cell_angle_gamma 90.00
_symmetry_space_group_name_H-M 'C m m m'
_symmetry_Int_Tables_number 65
_symmetry_space_group_name_Hall '-C 2 2'
loop_
_atom_site_label
_atom_site_fract_x
_atom_site_fract_y
_atom_site_fract_z
_atom_site_occupancy
La1 0.0000 0.0000 0.0000 1
Th1 0.0000 0.5000 0.0000 1
Th2 0.2500 0.2500 0.5000 1
S1 0.0000 0.2516 0.0000 1
S2 0.2465 0.5000 0.5000 1

No. 4
# La3ThS4 | Alexandria via LeMat-Bulk | PBE-GGA | relaxed
# * DOS(E_F): 0.527 states/eV per atom
# * energy: -6.919 eV/atom
data_La3ThS4
_chemical_formula_sum 'La6 Th2 S8'
_cell_length_a 7.1695
_cell_length_b 8.1768
_cell_length_c 7.1564
_cell_angle_alpha 90.00
_cell_angle_beta 108.97
_cell_angle_gamma 90.00
_symmetry_space_group_name_H-M 'P 1 2/c 1'
_symmetry_Int_Tables_number 13
loop_
_symmetry_equiv_pos_as_xyz
'x,y,z'
'-x,-y,-z'
'-x,y,-z+1/2'
'x,-y,z+1/2'
loop_
_atom_site_label
_atom_site_fract_x
_atom_site_fract_y
_atom_site_fract_z
_atom_site_occupancy
La1 0.0000 0.1236 0.2500 1
La2 0.0000 0.3732 0.7500 1
La3 0.5000 0.3730 0.2500 1
Th1 0.5000 0.1223 0.7500 1
S1 0.2533 0.3720 0.5034 1
S2 0.2545 0.1230 0.9995 1

- The lowest energy belongs to which entry?
  LaTh3S4